1.
The following is a DFT calculation (PBE-GGA) of a geometry-optimized Ce2BeGaPd6 structure.

a b c (Å): 9.9835 5.8355 7.1417
angles (deg): 90.00 116.12 90.00
Space group C2/m (No. 12)
Unique sites:
Ce 0.2489 0.0000 0.1989 [4 per cell]
Be 0.0000 0.0000 0.5000 [2 per cell]
Ga 0.0000 0.5000 0.0000 [2 per cell]
Pd 0.0475 0.2605 0.3216 [8 per cell]
Pd 0.2272 0.0000 0.7391 [4 per cell]

E_form	-0.63	eV per atom


2.
The following is a DFT calculation (PBE-GGA) of a geometry-optimized CaMg2Te structure.

a b c (Å): 4.1559 4.1559 25.7445
angles (deg): 90.00 90.00 120.00
Space group R3m (No. 160, hexagonal axes)
Unique sites:
Ca 0.0000 0.0000 0.0000 [3 per cell]
Mg 0.0000 0.0000 0.2307 [3 per cell]
Mg 0.0000 0.0000 0.4771 [3 per cell]
Te 0.0000 0.0000 0.7451 [3 per cell]

raw formation energy	-0.3895	eV per atom


3.
The following is a DFT calculation (PBE-GGA) of a geometry-optimized Pm3Mn5Se12 structure.

a b c (Å): 15.8688 15.8688 15.8688
angles (deg): 90.00 90.00 90.00
Space group Ia-3d (No. 230)
Unique sites:
Pm 0.0000 0.2500 0.1250 [24 per cell]
Mn 0.0000 0.0000 0.0000 [16 per cell]
Mn 0.0000 0.2500 0.3750 [24 per cell]
Se 0.0270 0.0576 0.6478 [96 per cell]

raw formation energy	-0.9235	eV per atom